Material: Y2InMo
Method: DFT, PBE
State: relaxed

a = 5.0510 Å, b = 3.3417 Å, c = 6.0529 Å
α = 74.04°, β = 90.00°, γ = 90.00°
Element x y z (fractional)
1 In 0.0000 0.6935 0.4876
2 Mo 0.5000 0.5550 0.7657
3 Y 0.0000 0.9684 0.9389
4 Y 0.5000 0.2831 0.3078

Results
Size of the total moment: 0.000 μB per cell
Density: 6.57 g cm⁻³
ΔE_f: 0.113 eV/atom